(1)
# CuTeMoO6 | the Alexandria database | PBE with a Hubbard U | relaxed
data_CuTeMoO6
_chemical_formula_sum 'Cu2 Te2 Mo2 O12'
_symmetry_space_group_name_H-M 'P 1'
_symmetry_Int_Tables_number 1
_cell_length_a 5.2533
_cell_length_b 5.2533
_cell_length_c 9.0513
_cell_angle_alpha 90.00
_cell_angle_beta 90.00
_cell_angle_gamma 120.00
loop_
_symmetry_equiv_pos_as_xyz
'x,y,z'
loop_
_atom_site_label
_atom_site_fract_x
_atom_site_fract_y
_atom_site_fract_z
Cu1 0.0000 0.0000 0.0000
Cu2 0.0000 0.0000 0.5000
Te1 0.6667 0.3333 0.2500
Te2 0.3333 0.6667 0.7500
Mo1 0.3333 0.6667 0.2500
Mo2 0.6667 0.3333 0.7500
O1 0.6541 0.6433 0.1320
O2 0.9892 0.3459 0.1320
O3 0.3459 0.9892 0.6320
O4 0.0108 0.6541 0.8680
O5 0.3567 0.3459 0.3680
O6 0.9892 0.6433 0.3680
O7 0.6433 0.9892 0.8680
O8 0.6541 0.0108 0.3680
O9 0.0108 0.3567 0.6320
O10 0.3567 0.0108 0.1320
O11 0.6433 0.6541 0.6320
O12 0.3459 0.3567 0.8680
# - Calculated volume: 216 Å³ per cell
# - N(E_F): 6.18 states/eV per cell
# - Raw total energy: -5.8988 eV per atom


(2)
# TiCuMoO6 | the Alexandria database | PBE with a Hubbard U | relaxed
data_TiCuMoO6
_chemical_formula_sum 'Ti2 Cu2 Mo2 O12'
_symmetry_space_group_name_H-M 'P 1'
_symmetry_Int_Tables_number 1
_cell_length_a 5.0720
_cell_length_b 5.0720
_cell_length_c 8.9194
_cell_angle_alpha 90.00
_cell_angle_beta 90.00
_cell_angle_gamma 120.00
loop_
_symmetry_equiv_pos_as_xyz
'x,y,z'
loop_
_atom_site_label
_atom_site_fract_x
_atom_site_fract_y
_atom_site_fract_z
Ti1 0.6667 0.3333 0.2500
Ti2 0.3333 0.6667 0.7500
Cu1 0.0000 0.0000 0.0000
Cu2 0.0000 0.0000 0.5000
Mo1 0.3333 0.6667 0.2500
Mo2 0.6667 0.3333 0.7500
O1 0.6491 0.6526 0.1320
O2 0.0035 0.3509 0.1320
O3 0.3509 0.0035 0.6320
O4 0.9965 0.6491 0.8680
O5 0.3474 0.3509 0.3680
O6 0.0035 0.6526 0.3680
O7 0.6526 0.0035 0.8680
O8 0.6491 0.9965 0.3680
O9 0.9965 0.3474 0.6320
O10 0.3474 0.9965 0.1320
O11 0.6526 0.6491 0.6320
O12 0.3509 0.3474 0.8680
# - Calculated volume: 199 Å³ per cell
# - N(E_F): 7.65 states/eV per cell
# - Raw total energy: -7.1263 eV per atom